Record 1
Computed, not measured: a geometry-optimized GaHF2 structure at the PBE-GGA level of DFT.

Summary:
Energy above the most stable polymorph in this dataset in meV per atom: 53

Structure (CIF):
```
data_GaHF2
_chemical_formula_sum 'Ga3 H3 F6'
_cell_length_a 3.5331
_cell_length_b 3.5331
_cell_length_c 16.3908
_cell_angle_alpha 90.00
_cell_angle_beta 90.00
_cell_angle_gamma 120.00
_symmetry_space_group_name_H-M 'R -3 m'
_symmetry_Int_Tables_number 166
_symmetry_space_group_name_Hall '-R 3 2"'
loop_
_atom_site_label
_atom_site_type_symbol
_atom_site_fract_x
_atom_site_fract_y
_atom_site_fract_z
Ga1 Ga 0.0000 0.0000 0.0000
H1 H 0.0000 0.0000 0.5000
F1 F 0.0000 0.0000 0.4298
```

Record 2
Computed, not measured: a geometry-optimized Ga2HF structure at the PBE-GGA level of DFT.

Summary:
Energy above the most stable polymorph in this dataset in meV per atom: 0

Structure (CIF):
```
data_Ga2HF
_chemical_formula_sum 'Ga8 H4 F4'
_cell_length_a 5.256
_cell_length_b 5.256
_cell_length_c 9.641
_cell_angle_alpha 90.00
_cell_angle_beta 90.00
_cell_angle_gamma 90.00
_symmetry_space_group_name_H-M 'I -4 2 d'
_symmetry_Int_Tables_number 122
_symmetry_space_group_name_Hall 'I -4 2bw'
loop_
_atom_site_label
_atom_site_type_symbol
_atom_site_fract_x
_atom_site_fract_y
_atom_site_fract_z
Ga1 Ga 0.197 0.250 0.125
H1 H 0.000 0.000 0.000
F1 F 0.000 0.000 0.500
```